Entry 1:
{
  "formula": "SrHRu2",
  "functional": "GGA-PBE",
  "state": "optimized geometry",
  "crystal_system": "cubic",
  "polymorph_energy_mev_per_atom": 1351.1,
  "m_tot_mub_per_cell": 2.85,
  "cell": [[0.000, 3.222, 3.222], [3.222, 0.000, 3.222], [3.222, 3.222, 0.000]],
  "species": ["Sr", "H", "Ru", "Ru"],
  "fractional_positions": [[0.000, 0.000, 0.000], [0.500, 0.500, 0.500], [0.250, 0.250, 0.250], [0.750, 0.750, 0.750]]
}

=====

Entry 2:
{
  "formula": "Dy4Ag2Os",
  "functional": "GGA-PBE",
  "state": "optimized geometry",
  "crystal_system": "trigonal",
  "formation_energy_ev_per_atom": -0.185,
  "m_tot_mub_per_cell": 0.00,
  "cell": [[2.507, 1.448, 8.147], [-2.507, 1.448, 8.147], [0.000, -2.895, 8.147]],
  "species": ["Dy", "Dy", "Dy", "Dy", "Ag", "Ag", "Os"],
  "fractional_positions": [[0.120, 0.120, 0.120], [0.371, 0.371, 0.371], [0.629, 0.629, 0.629], [0.880, 0.880, 0.880], [0.248, 0.248, 0.248], [0.752, 0.752, 0.752], [0.000, 0.000, 0.000]]
}

=====

Entry 3:
{
  "formula": "Tb2SmDy5Sc",
  "functional": "GGA-PBE",
  "state": "optimized geometry",
  "crystal_system": "orthorhombic",
  "formation_energy_ev_per_atom": 0.166,
  "m_tot_mub_per_cell": 0.00,
  "cell": [[2.780, -9.869, 0.000], [2.780, 9.869, 0.000], [0.000, 0.000, 10.386]],
  "species": ["Tb", "Tb", "Tb", "Tb", "Sm", "Sm", "Dy", "Dy", "Dy", "Dy", "Dy", "Dy", "Dy", "Dy", "Dy", "Dy", "Sc", "Sc"],
  "fractional_positions": [[0.112, 0.888, 0.500], [0.114, 0.886, 0.921], [0.886, 0.114, 0.421], [0.888, 0.112, 0.000], [0.412, 0.588, 0.641], [0.588, 0.412, 0.141], [0.018, 0.982, 0.204], [0.277, 0.723, 0.507], [0.298, 0.702, 0.891], [0.376, 0.624, 0.206], [0.481, 0.519, 0.925], [0.519, 0.481, 0.425], [0.624, 0.376, 0.706], [0.702, 0.298, 0.391], [0.723, 0.277, 0.007], [0.982, 0.018, 0.704], [0.196, 0.804, 0.201], [0.804, 0.196, 0.701]]
}

=====

Entry 4:
{
  "formula": "NbCu3Rh",
  "functional": "GGA-PBE",
  "state": "optimized geometry",
  "crystal_system": "cubic",
  "polymorph_energy_mev_per_atom": 0.0,
  "formation_energy_ev_per_atom": 1.237,
  "m_tot_mub_per_cell": 2.78,
  "cell": [[4.531, 0.000, 0.000], [0.000, 4.531, 0.000], [0.000, 0.000, 4.531]],
  "species": ["Nb", "Cu", "Cu", "Cu", "Rh"],
  "fractional_positions": [[0.000, 0.000, 0.000], [0.000, 0.500, 0.500], [0.500, 0.000, 0.500], [0.500, 0.500, 0.000], [0.500, 0.500, 0.500]]
}